Entry 1:
## La3Sn4Rh2 (PBE)

Data for a relaxed La3Sn4Rh2 crystal.

Geometry as extended XYZ:
```
9
Lattice="5.808 -2.380 0.000 5.808 2.380 0.000 -3.271 0.000 8.493" Properties=species:S:1:pos:R:3 pbc="T T T"
La 0.000 0.000 0.000
La 2.504 0.000 3.179
La 5.842 0.000 5.313
Sn -0.889 0.000 3.001
Sn 0.128 0.000 7.724
Sn 8.218 0.000 0.769
Sn 9.235 0.000 5.491
Rh 2.293 0.000 6.096
Rh 6.054 0.000 2.396
```

Energy of formation from the pure elements = -0.76 eV per atom
Crystal system = monoclinic
Total magnetization = 0.0000 μB/atom

Entry 2:
## CdTcPt3 (PBE)

Data for a relaxed CdTcPt3 crystal.

Geometry as extended XYZ:
```
5
Lattice="4.822 0.000 0.000 0.000 4.822 0.000 0.000 0.000 4.822" Properties=species:S:1:pos:R:3 pbc="T T T"
Cd 0.000 0.000 0.000
Tc 2.411 2.411 2.411
Pt 0.000 2.411 2.411
Pt 2.411 0.000 2.411
Pt 2.411 2.411 0.000
```

Energy of formation from the pure elements = 0.99 eV per atom
Crystal system = cubic
Total magnetization = 0.0000 μB/atom

Excess energy over the best structure of this formula in the dataset across the listed records, respectively: 0.327, 0.000 eV/f.u..